The following is a DFT calculation (PBE) of a relaxed structure of RbCdAu2Cl.

Cell: 6.085 6.085 5.819 Å, 90.00 90.00 90.00°
Space group P4/mmm (No. 123)
Symmetry-distinct sites (fractional):
Rb 0.000 0.000 0.000 [1 per cell]
Cd 0.500 0.500 0.500 [1 per cell]
Au 0.000 0.500 0.000 [2 per cell]
Cl 0.000 0.000 0.500 [1 per cell]

## Properties
* density: 4.8 g/cm3
* formation energy from raw total energies: 558 meV per atom